[1]
# PBE KCa2Au, relaxed
data_KCa2Au
_chemical_formula_sum 'K1 Ca2 Au1'
_symmetry_space_group_name_H-M 'P 1'
_symmetry_Int_Tables_number 1
_cell_length_a 4.266
_cell_length_b 4.109
_cell_length_c 9.447
_cell_angle_alpha 90.00
_cell_angle_beta 102.98
_cell_angle_gamma 90.00
loop_
_symmetry_equiv_pos_as_xyz
'x,y,z'
loop_
_atom_site_label
_atom_site_type_symbol
_atom_site_fract_x
_atom_site_fract_y
_atom_site_fract_z
K1 K 0.000 0.000 0.000
Ca1 Ca 0.311 0.000 0.624
Ca2 Ca 0.677 0.500 0.354
Au1 Au 0.838 0.500 0.680
# symmetry: No. 6
# distance to the lowest polymorph of the same formula: 0.058 eV/atom


[2]
# PBE Sm2CdAg4, relaxed
data_Sm2CdAg4
_chemical_formula_sum 'Sm2 Cd1 Ag4'
_symmetry_space_group_name_H-M 'P 1'
_symmetry_Int_Tables_number 1
_cell_length_a 5.177
_cell_length_b 5.177
_cell_length_c 8.215
_cell_angle_alpha 117.52
_cell_angle_beta 117.52
_cell_angle_gamma 60.39
loop_
_symmetry_equiv_pos_as_xyz
'x,y,z'
loop_
_atom_site_label
_atom_site_type_symbol
_atom_site_fract_x
_atom_site_fract_y
_atom_site_fract_z
Sm1 Sm 0.065 0.065 0.289
Sm2 Sm 0.935 0.935 0.711
Cd1 Cd 0.500 0.500 0.500
Ag1 Ag 0.290 0.290 0.748
Ag2 Ag 0.313 0.313 0.101
Ag3 Ag 0.687 0.687 0.899
Ag4 Ag 0.710 0.710 0.252
# symmetry: No. 12
# distance to the lowest polymorph of the same formula: 0.000 eV/atom


[3]
# PBE Y2SiTe, relaxed
data_Y2SiTe
_chemical_formula_sum 'Y2 Si1 Te1'
_symmetry_space_group_name_H-M 'P 1'
_symmetry_Int_Tables_number 1
_cell_length_a 5.354
_cell_length_b 5.354
_cell_length_c 3.704
_cell_angle_alpha 99.29
_cell_angle_beta 99.29
_cell_angle_gamma 93.78
loop_
_symmetry_equiv_pos_as_xyz
'x,y,z'
loop_
_atom_site_label
_atom_site_type_symbol
_atom_site_fract_x
_atom_site_fract_y
_atom_site_fract_z
Y1 Y 0.000 0.500 0.000
Y2 Y 0.500 0.000 0.000
Si1 Si 0.000 0.000 0.500
Te1 Te 0.500 0.500 0.500
# symmetry: No. 12
# E_form (uncorrected): -0.7436 eV/atom
# distance to the lowest polymorph of the same formula: 0.379 eV/atom


[4]
# PBE As4OsAu, relaxed
data_As4OsAu
_chemical_formula_sum 'As4 Os1 Au1'
_symmetry_space_group_name_H-M 'P 1'
_symmetry_Int_Tables_number 1
_cell_length_a 5.401
_cell_length_b 5.401
_cell_length_c 5.401
_cell_angle_alpha 60.00
_cell_angle_beta 60.00
_cell_angle_gamma 60.00
loop_
_symmetry_equiv_pos_as_xyz
'x,y,z'
loop_
_atom_site_label
_atom_site_type_symbol
_atom_site_fract_x
_atom_site_fract_y
_atom_site_fract_z
As1 As 0.125 0.125 0.125
As2 As 0.125 0.125 0.624
As3 As 0.125 0.624 0.125
As4 As 0.624 0.125 0.125
Os1 Os 0.500 0.500 0.500
Au1 Au 0.750 0.750 0.750
# symmetry: No. 216


[5]
# PBE KTbTlPb, relaxed
data_KTbTlPb
_chemical_formula_sum 'K1 Tb1 Tl1 Pb1'
_symmetry_space_group_name_H-M 'P 1'
_symmetry_Int_Tables_number 1
_cell_length_a 5.624
_cell_length_b 5.624
_cell_length_c 5.624
_cell_angle_alpha 60.00
_cell_angle_beta 60.00
_cell_angle_gamma 60.00
loop_
_symmetry_equiv_pos_as_xyz
'x,y,z'
loop_
_atom_site_label
_atom_site_type_symbol
_atom_site_fract_x
_atom_site_fract_y
_atom_site_fract_z
K1 K 0.000 0.000 0.000
Tb1 Tb 0.500 0.500 0.500
Tl1 Tl 0.750 0.750 0.750
Pb1 Pb 0.250 0.250 0.250
# symmetry: No. 216


[6]
# PBE DyHoNiRh, relaxed
data_DyHoNiRh
_chemical_formula_sum 'Dy1 Ho1 Ni1 Rh1'
_symmetry_space_group_name_H-M 'P 1'
_symmetry_Int_Tables_number 1
_cell_length_a 4.811
_cell_length_b 4.811
_cell_length_c 4.811
_cell_angle_alpha 60.00
_cell_angle_beta 60.00
_cell_angle_gamma 60.00
loop_
_symmetry_equiv_pos_as_xyz
'x,y,z'
loop_
_atom_site_label
_atom_site_type_symbol
_atom_site_fract_x
_atom_site_fract_y
_atom_site_fract_z
Dy1 Dy 0.000 0.000 0.000
Ho1 Ho 0.500 0.500 0.500
Ni1 Ni 0.750 0.750 0.750
Rh1 Rh 0.250 0.250 0.250
# symmetry: No. 216
# distance to the lowest polymorph of the same formula: 0.021 eV/atom


[7]
# PBE K3TeAs, relaxed
data_K3TeAs
_chemical_formula_sum 'K3 Te1 As1'
_symmetry_space_group_name_H-M 'P 1'
_symmetry_Int_Tables_number 1
_cell_length_a 6.585
_cell_length_b 6.585
_cell_length_c 6.585
_cell_angle_alpha 90.00
_cell_angle_beta 90.00
_cell_angle_gamma 90.00
loop_
_symmetry_equiv_pos_as_xyz
'x,y,z'
loop_
_atom_site_label
_atom_site_type_symbol
_atom_site_fract_x
_atom_site_fract_y
_atom_site_fract_z
K1 K 0.000 0.000 0.500
K2 K 0.000 0.500 0.000
K3 K 0.500 0.000 0.000
Te1 Te 0.000 0.000 0.000
As1 As 0.500 0.500 0.500
# symmetry: No. 221
# E_form (uncorrected): -0.2504 eV/atom
# distance to the lowest polymorph of the same formula: 0.434 eV/atom


[8]
# PBE BeCO, relaxed
data_BeCO
_chemical_formula_sum 'Be2 C2 O2'
_symmetry_space_group_name_H-M 'P 1'
_symmetry_Int_Tables_number 1
_cell_length_a 4.070
_cell_length_b 4.354
_cell_length_c 4.551
_cell_angle_alpha 107.54
_cell_angle_beta 102.87
_cell_angle_gamma 103.79
loop_
_symmetry_equiv_pos_as_xyz
'x,y,z'
loop_
_atom_site_label
_atom_site_type_symbol
_atom_site_fract_x
_atom_site_fract_y
_atom_site_fract_z
Be1 Be 0.000 0.000 0.000
Be2 Be 0.424 0.501 0.499
C1 C 0.421 0.010 0.009
C2 C 0.653 0.279 0.279
O1 O 0.015 0.306 0.306
O2 O 0.594 0.819 0.817
# symmetry: No. 1
# E_form (uncorrected): -0.8623 eV/atom
# distance to the lowest polymorph of the same formula: 0.821 eV/atom


no.,total moment (μB per cell),final energy (eV/atom)
1,0.000,-2.3958
2,0.000,-3.3334
3,0.000,-6.1168
4,0.949,-4.4819
5,0.000,-3.0634
6,0.000,-6.2197
7,2.000,-2.4671
8,0.000,-6.8317